! Al2CdTe | Alexandria | PBE | relaxed; values from VASP
&SYSTEM
  ibrav = 0, nat = 4, ntyp = 3
/
ATOMIC_SPECIES
Al 26.98 Al.upf
Te 127.60 Te.upf
Cd 112.41 Cd.upf
ATOMIC_POSITIONS crystal
Al 0.7500 0.7500 0.7500
Al 0.2500 0.2500 0.2500
Te 0.5000 0.5000 0.5000
Cd 0.0000 0.0000 0.0000
CELL_PARAMETERS angstrom
1.5901 -2.4679 -4.1150
3.0141 -4.0299 0.4768
-1.7777 -4.6207 -1.0205
! Uncorrected formation energy = 1.026 eV/f.u.
! Calculated volume = 22.83 Å³ per atom

! ZrTcI | Alexandria | PBE | relaxed; values from VASP
&SYSTEM
  ibrav = 0, nat = 6, ntyp = 3
/
ATOMIC_SPECIES
Zr 91.22 Zr.upf
Tc 98.00 Tc.upf
I 126.90 I.upf
ATOMIC_POSITIONS crystal
Zr 0.5523 0.2334 0.3703
Zr 0.1178 0.7559 0.2829
Tc 0.4447 0.7314 0.5172
Tc 0.9361 0.4191 0.5560
I 0.7048 0.5241 0.0576
I 0.3573 0.0883 0.7284
CELL_PARAMETERS angstrom
3.7054 0.0002 0.0050
0.0338 5.3138 -0.0022
1.7148 0.9439 8.7030
! Uncorrected formation energy = -0.012 eV/f.u.
! Calculated volume = 28.55 Å³ per atom

! K5PaO6 | Alexandria | PBE | relaxed; values from VASP
&SYSTEM
  ibrav = 0, nat = 12, ntyp = 3
/
ATOMIC_SPECIES
O 16.00 O.upf
K 39.10 K.upf
Pa 231.04 Pa.upf
ATOMIC_POSITIONS crystal
O 0.7917 0.3322 0.7364
O 0.2083 0.6678 0.2636
O 0.7917 0.0686 0.2636
O 0.8006 0.8084 0.0000
O 0.2083 0.9314 0.7364
O 0.1994 0.1916 0.0000
K 0.5000 0.5000 0.0000
K 0.5000 0.1681 0.6637
K 0.0000 0.6666 0.6668
K 0.0000 0.3334 0.3332
K 0.5000 0.8319 0.3363
Pa 0.0000 0.0000 0.0000
CELL_PARAMETERS angstrom
6.5484 0.2618 0.0000
2.0803 6.3164 0.0000
1.0401 3.1582 5.6887
! Uncorrected formation energy = -23.388 eV/f.u.
! Calculated volume = 19.35 Å³ per atom

! CdCoS3 | Alexandria | PBE | relaxed; values from VASP
&SYSTEM
  ibrav = 0, nat = 5, ntyp = 3
/
ATOMIC_SPECIES
Co 58.93 Co.upf
Cd 112.41 Cd.upf
S 32.06 S.upf
ATOMIC_POSITIONS crystal
Co 0.0000 0.0000 0.0000
Cd 0.5000 0.5000 0.5000
S 0.0000 0.5000 0.0000
S 0.0000 0.0000 0.5000
S 0.5000 0.0000 0.0000
CELL_PARAMETERS angstrom
4.4970 0.0000 0.0000
0.0000 4.4970 0.0000
0.0000 0.0000 4.4970
! Uncorrected formation energy = 1.315 eV/f.u.
! Calculated volume = 18.19 Å³ per atom

! Ba4Ga3Ge5 | Alexandria | PBE | relaxed; values from VASP
&SYSTEM
  ibrav = 0, nat = 12, ntyp = 3
/
ATOMIC_SPECIES
Ge 72.64 Ge.upf
Ga 69.72 Ga.upf
Ba 137.33 Ba.upf
ATOMIC_POSITIONS crystal
Ge 0.7229 0.5916 0.9626
Ge 0.5810 0.9427 0.8954
Ge 0.5000 0.5000 0.5000
Ge 0.4190 0.0573 0.1046
Ge 0.2771 0.4084 0.0374
Ga 0.3795 0.8714 0.3697
Ga 0.6205 0.1286 0.6303
Ga 0.0000 0.5000 0.5000
Ba 0.7455 0.2147 0.2944
Ba 0.2545 0.7853 0.7056
Ba 0.0563 0.7352 0.1522
Ba 0.9437 0.2648 0.8478
CELL_PARAMETERS angstrom
-1.3972 -0.6642 -4.7640
-8.0596 -1.3236 -0.0850
-6.5693 8.5927 -1.9045
! Formation energy from the elements = -0.3750 eV per atom
! Calculated volume = 31.39 Å³ per atom

! Li9CuNi4 | Alexandria | PBE | relaxed; values from VASP
&SYSTEM
  ibrav = 0, nat = 28, ntyp = 3
/
ATOMIC_SPECIES
Li 6.94 Li.upf
Ni 58.69 Ni.upf
Cu 63.55 Cu.upf
ATOMIC_POSITIONS crystal
Li 0.5572 0.1872 0.8128
Li 0.9428 0.6256 0.8128
Li 0.2500 0.4580 0.5420
Li 0.2500 0.0840 0.5420
Li 0.9428 0.1872 0.3744
Li 0.4428 0.3744 0.1872
Li 0.7500 0.5420 0.0840
Li 0.9428 0.1872 0.8128
Li 0.4428 0.8128 0.1872
Li 0.2500 0.4580 0.9160
Li 0.5572 0.6256 0.8128
Li 0.7500 0.5420 0.4580
Li 0.0572 0.8128 0.6256
Li 0.0572 0.3744 0.1872
Li 0.0572 0.8128 0.1872
Li 0.5572 0.1872 0.3744
Li 0.4428 0.8128 0.6256
Li 0.7500 0.9160 0.4580
Ni 0.0000 0.0000 0.0000
Ni 0.2500 0.1029 0.8971
Ni 0.2500 0.1029 0.2058
Ni 0.7500 0.2058 0.1029
Ni 0.2500 0.7942 0.8971
Ni 0.7500 0.8971 0.1029
Ni 0.7500 0.8971 0.7942
Ni 0.5000 0.0000 0.0000
Cu 0.7500 0.3333 0.6667
Cu 0.2500 0.6667 0.3333
CELL_PARAMETERS angstrom
-7.8805 0.9744 0.0105
-0.9128 -7.3574 -2.2984
0.2206 1.7022 7.5697
! Formation energy from the elements = 0.0091 eV per atom
! Calculated volume = 14.80 Å³ per atom

! Pa2Co5Si3 | Alexandria | PBE | relaxed; values from VASP
&SYSTEM
  ibrav = 0, nat = 20, ntyp = 3
/
ATOMIC_SPECIES
Pa 231.04 Pa.upf
Si 28.09 Si.upf
Co 58.93 Co.upf
ATOMIC_POSITIONS crystal
Pa 0.6280 0.1409 0.6031
Pa 0.8720 0.3969 0.8591
Pa 0.1280 0.6031 0.1409
Pa 0.3720 0.8591 0.3969
Si 0.7500 0.0000 0.0000
Si 0.2500 0.0000 0.0000
Si 0.8656 0.7459 0.5229
Si 0.6344 0.4771 0.2541
Si 0.3656 0.5229 0.7459
Si 0.1344 0.2541 0.4771
Co 0.5205 0.2295 0.2295
Co 0.6049 0.7267 0.0634
Co 0.7500 0.5000 0.5000
Co 0.1049 0.0634 0.7267
Co 0.3951 0.2733 0.9366
Co 0.0205 0.2295 0.2295
Co 0.8951 0.9366 0.2733
Co 0.2500 0.5000 0.5000
Co 0.4795 0.7705 0.7705
Co 0.9795 0.7705 0.7705
CELL_PARAMETERS angstrom
-2.9568 -0.8805 4.4893
-4.8239 -5.9907 -1.0475
3.6881 -4.8829 4.7761
! Uncorrected formation energy = -6.240 eV/f.u.
! Calculated volume = 14.39 Å³ per atom

! VNi2HPt | Alexandria | PBE | relaxed; values from VASP
&SYSTEM
  ibrav = 0, nat = 5, ntyp = 4
/
ATOMIC_SPECIES
H 1.01 H.upf
Ni 58.69 Ni.upf
Pt 195.08 Pt.upf
V 50.94 V.upf
ATOMIC_POSITIONS crystal
H 0.0000 0.0000 0.0000
Ni 0.5000 0.0000 0.0000
Ni 0.0000 0.5000 0.0000
Pt 0.0000 0.0000 0.5000
V 0.5000 0.5000 0.5000
CELL_PARAMETERS angstrom
-0.9846 -1.5127 -3.2909
-1.0009 -3.1639 1.7538
-3.5481 1.3635 0.4348
! Uncorrected energy = -6.137 eV per atom
! Calculated volume = 10.78 Å³ per atom

! TbPmMgCo | Alexandria | PBE | relaxed; values from VASP
&SYSTEM
  ibrav = 0, nat = 4, ntyp = 4
/
ATOMIC_SPECIES
Tb 158.93 Tb.upf
Mg 24.30 Mg.upf
Co 58.93 Co.upf
Pm 145.00 Pm.upf
ATOMIC_POSITIONS crystal
Tb 0.2500 0.2500 0.2500
Mg 0.0000 0.0000 0.0000
Co 0.5000 0.5000 0.5000
Pm 0.7500 0.7500 0.7500
CELL_PARAMETERS angstrom
-2.4777 3.6907 2.5020
-0.9700 -0.5039 4.9825
2.4825 2.8954 3.3873
! Formation energy from the elements = 0.0344 eV per atom
! Calculated volume = 23.46 Å³ per atom

! LiCdClO | Alexandria | PBE | relaxed; values from VASP
&SYSTEM
  ibrav = 0, nat = 4, ntyp = 4
/
ATOMIC_SPECIES
O 16.00 O.upf
Cl 35.45 Cl.upf
Cd 112.41 Cd.upf
Li 6.94 Li.upf
ATOMIC_POSITIONS crystal
O 0.9990 0.9990 0.0029
Cl 0.5055 0.5055 0.4835
Cd 0.7271 0.7271 0.8188
Li 0.2684 0.2684 0.1948
CELL_PARAMETERS angstrom
3.4746 0.0000 0.0000
1.7373 3.0091 0.0000
1.7373 1.0030 5.8736
! Uncorrected formation energy = -5.255 eV/f.u.
! Calculated volume = 15.35 Å³ per atom

! Pr4BiP2 | Alexandria | PBE | relaxed; values from VASP
&SYSTEM
  ibrav = 0, nat = 14, ntyp = 3
/
ATOMIC_SPECIES
P 30.97 P.upf
Bi 208.98 Bi.upf
Pr 140.91 Pr.upf
ATOMIC_POSITIONS crystal
P 0.1352 0.2704 0.0605
P 0.8648 0.7296 0.9395
P 0.8648 0.7296 0.5605
P 0.1352 0.2704 0.4395
Bi 0.3924 0.7848 0.2500
Bi 0.6076 0.2152 0.7500
Pr 0.2347 0.4694 0.6139
Pr 0.2347 0.4694 0.8861
Pr 0.7653 0.5306 0.3861
Pr 0.5000 0.0000 0.0000
Pr 0.7653 0.5306 0.1139
Pr 0.5000 0.0000 0.5000
Pr 0.0637 0.1273 0.2500
Pr 0.9363 0.8727 0.7500
CELL_PARAMETERS angstrom
4.3146 0.0000 0.0000
-2.1573 6.9220 0.0000
0.0000 0.0000 14.2299
! Formation energy from the elements = -1.1766 eV per atom
! Calculated volume = 30.36 Å³ per atom

! SrMgPS2 | Alexandria | PBE | relaxed; values from VASP
&SYSTEM
  ibrav = 0, nat = 5, ntyp = 4
/
ATOMIC_SPECIES
S 32.06 S.upf
Mg 24.30 Mg.upf
P 30.97 P.upf
Sr 87.62 Sr.upf
ATOMIC_POSITIONS crystal
S 0.0000 0.5000 0.0000
S 0.5000 0.0000 0.0000
Mg 0.5000 0.5000 0.5000
P 0.0000 0.0000 0.5000
Sr 0.0000 0.0000 0.0000
CELL_PARAMETERS angstrom
-3.3055 1.6655 4.0526
-3.9077 -3.4168 -1.7830
2.0350 -4.0655 3.3307
! Uncorrected formation energy = 2.155 eV/f.u.
! Calculated volume = 33.95 Å³ per atom

! YNiRh2 | Alexandria | PBE | relaxed; values from VASP
&SYSTEM
  ibrav = 0, nat = 4, ntyp = 3
/
ATOMIC_SPECIES
Rh 102.91 Rh.upf
Y 88.91 Y.upf
Ni 58.69 Ni.upf
ATOMIC_POSITIONS crystal
Rh 0.0000 0.0000 0.5364
Rh 0.0000 0.0000 0.9636
Y 0.5000 0.5000 0.2500
Ni 0.5000 0.5000 0.7500
CELL_PARAMETERS angstrom
-0.1276 -3.2776 -0.1914
2.5022 -0.2210 2.1157
-3.9490 -0.1183 4.6580
! Formation energy from the elements = -0.2514 eV per atom
! Calculated volume = 16.48 Å³ per atom

! Pa4AsOsSe2 | Alexandria | PBE | relaxed; values from VASP
&SYSTEM
  ibrav = 0, nat = 8, ntyp = 4
/
ATOMIC_SPECIES
Pa 231.04 Pa.upf
As 74.92 As.upf
Se 78.96 Se.upf
Os 190.23 Os.upf
ATOMIC_POSITIONS crystal
Pa 0.0000 0.7285 0.7697
Pa 0.0000 0.2715 0.2303
Pa 0.5000 0.2601 0.7571
Pa 0.5000 0.7399 0.2429
As 0.0000 0.5000 0.5000
Se 0.5000 0.0000 0.5000
Se 0.0000 0.0000 0.0000
Os 0.5000 0.5000 0.0000
CELL_PARAMETERS angstrom
-3.9331 0.4723 0.1645
-0.6582 -6.4843 2.8823
0.3780 0.6636 7.1331
! Uncorrected formation energy = -7.673 eV/f.u.
! Calculated volume = 24.06 Å³ per atom

! Ho5Ir4Pd | Alexandria | PBE | relaxed; values from VASP
&SYSTEM
  ibrav = 0, nat = 10, ntyp = 3
/
ATOMIC_SPECIES
Pd 106.42 Pd.upf
Ir 192.22 Ir.upf
Ho 164.93 Ho.upf
ATOMIC_POSITIONS crystal
Pd 0.0000 0.0000 0.0000
Ir 0.0000 0.0000 0.7988
Ir 0.0000 0.0000 0.5991
Ir 0.0000 0.0000 0.2012
Ir 0.0000 0.0000 0.4009
Ho 0.5000 0.5000 0.8949
Ho 0.5000 0.5000 0.5000
Ho 0.5000 0.5000 0.6980
Ho 0.5000 0.5000 0.1051
Ho 0.5000 0.5000 0.3020
CELL_PARAMETERS angstrom
3.3806 0.0000 0.0000
0.0000 3.3806 0.0000
0.0000 0.0000 17.6174
! Formation energy from the elements = -0.8672 eV per atom
! Calculated volume = 20.13 Å³ per atom

! RbGa2Ge2 | Alexandria | PBE | relaxed; values from VASP
&SYSTEM
  ibrav = 0, nat = 10, ntyp = 3
/
ATOMIC_SPECIES
Ge 72.64 Ge.upf
Ga 69.72 Ga.upf
Rb 85.47 Rb.upf
ATOMIC_POSITIONS crystal
Ge 0.1225 0.3775 0.0000
Ge 0.3775 0.8775 0.0000
Ge 0.8775 0.6225 0.0000
Ge 0.6225 0.1225 0.0000
Ga 0.1457 0.6457 0.5000
Ga 0.8543 0.3543 0.5000
Ga 0.3543 0.1457 0.5000
Ga 0.6457 0.8543 0.5000
Rb 0.5000 0.5000 0.0000
Rb 0.0000 0.0000 0.0000
CELL_PARAMETERS angstrom
-0.6905 2.9297 -8.2260
-0.7479 -8.2412 -2.8723
-3.1379 0.1717 0.3245
! Formation energy from the elements = 0.1048 eV per atom
! Calculated volume = 24.24 Å³ per atom

! Pu2Ga3Co | Alexandria | PBE | relaxed; values from VASP
&SYSTEM
  ibrav = 0, nat = 6, ntyp = 3
/
ATOMIC_SPECIES
Ga 69.72 Ga.upf
Co 58.93 Co.upf
Pu 244.00 Pu.upf
ATOMIC_POSITIONS crystal
Ga 0.5000 0.5000 0.6592
Ga 0.5000 0.0000 0.1702
Ga 0.5000 0.0000 0.8338
Co 0.5000 0.5000 0.3290
Pu 0.0000 0.0000 0.4827
Pu 0.0000 0.5000 0.0251
CELL_PARAMETERS angstrom
3.4233 0.0000 0.0000
0.0000 4.4269 0.0000
0.0000 0.0000 7.6788
! Formation energy from the elements = -0.3083 eV per atom
! Calculated volume = 19.40 Å³ per atom

! K2WCl7 | Alexandria | PBE | relaxed; values from VASP
&SYSTEM
  ibrav = 0, nat = 20, ntyp = 3
/
ATOMIC_SPECIES
Cl 35.45 Cl.upf
K 39.10 K.upf
W 183.84 W.upf
ATOMIC_POSITIONS crystal
Cl 0.8010 0.5074 0.8251
Cl 0.1335 0.9926 0.6749
Cl 0.0208 0.7061 0.5159
Cl 0.3024 0.2609 0.5780
Cl 0.9792 0.2939 0.4841
Cl 0.1990 0.4926 0.1749
Cl 0.8588 0.7609 0.0780
Cl 0.1412 0.2391 0.9220
Cl 0.6976 0.7391 0.4220
Cl 0.6480 0.2500 0.7500
Cl 0.3520 0.7500 0.2500
Cl 0.8665 0.0074 0.3251
Cl 0.7572 0.2061 0.0159
Cl 0.2428 0.7939 0.9841
K 0.7553 0.4671 0.2093
K 0.2447 0.5329 0.7907
K 0.4317 0.0329 0.2907
K 0.5683 0.9671 0.7093
W 0.0395 0.7500 0.2500
W 0.9605 0.2500 0.7500
CELL_PARAMETERS angstrom
-2.1445 5.3469 5.4178
-9.5370 -0.5601 2.5495
1.7779 -2.4030 8.8472
! Uncorrected formation energy = -11.987 eV/f.u.
! Calculated volume = 30.12 Å³ per atom

! LiTcP2 | Alexandria | PBE | relaxed; values from VASP
&SYSTEM
  ibrav = 0, nat = 4, ntyp = 3
/
ATOMIC_SPECIES
P 30.97 P.upf
Li 6.94 Li.upf
Tc 98.00 Tc.upf
ATOMIC_POSITIONS crystal
P 0.9621 0.9621 0.0000
P 0.6883 0.1883 0.5000
Li 0.3044 0.8044 0.5000
Tc 0.5452 0.5452 0.0000
CELL_PARAMETERS angstrom
6.8480 0.0044 0.0015
5.4569 4.1373 -0.0015
-6.0958 -2.2393 2.1731
! Formation energy from the elements = -0.3632 eV per atom
! Calculated volume = 15.38 Å³ per atom